1.
## TlCuSn2S4 (GGA-PBE)

Data for an optimized crystal structure of TlCuSn2S4.

Results
Total energy: -4.220 eV per atom
Formation energy without anion corrections: -0.348 eV/atom
Crystal system: orthorhombic
Total magnetization: 0.00 μB/f.u.

abc: 6.9010 6.9010 14.2569
angles: 90.00 90.00 146.27
With the nearest neighbours (Å) after each atom.
Element x y z (fractional)
Tl (0.0990, 0.9010, 0.7500)  6 S 3.19-3.42
Tl (0.9010, 0.0990, 0.2500)  6 S 3.19-3.42
Cu (0.1746, 0.8254, 0.2500)  4 S 2.30-2.34
Cu (0.8254, 0.1746, 0.7500)  4 S 2.30-2.34
Sn (0.3680, 0.6320, 0.5561)  6 S 2.71-2.82
Sn (0.3680, 0.6320, 0.9439)  6 S 2.71-2.82
Sn (0.6320, 0.3680, 0.0561)  6 S 2.71-2.82
Sn (0.6320, 0.3680, 0.4439)  6 S 2.71-2.82
S (0.0000, 0.0000, 0.0000)  4 Sn 2.77
S (0.0000, 0.0000, 0.5000)  4 Sn 2.77
S (0.2596, 0.7404, 0.1061)  1 Cu 2.34
S (0.2596, 0.7404, 0.3939)  1 Cu 2.34
S (0.4107, 0.5893, 0.7500)  2 Cu 2.30
S (0.5893, 0.4107, 0.2500)  2 Cu 2.30
S (0.7404, 0.2596, 0.6061)  1 Cu 2.34
S (0.7404, 0.2596, 0.8939)  1 Cu 2.34

---

2.
## ReSiPt (GGA-PBE)

Data for an optimized crystal structure of ReSiPt.

Results
Total energy: -7.732 eV per atom
Formation energy without anion corrections: 0.239 eV/atom
Crystal system: cubic
Offset from the most stable computed form: 0.379 eV per atom
Total magnetization: 0.00 μB/f.u.

abc: 4.1875 4.1875 4.1875
angles: 60.00 60.00 60.00
With the nearest neighbours (Å) after each atom.
Element x y z (fractional)
Re (0.0000, 0.0000, 0.0000)  4 Pt 2.56, 4 Si 2.56
Si (0.7500, 0.7500, 0.7500)  4 Re 2.56
Pt (0.2500, 0.2500, 0.2500)  4 Re 2.56

---

3.
## AlTl2BPb (GGA-PBE)

Data for an optimized crystal structure of AlTl2BPb.

Results
Total energy: -2.571 eV per atom
Formation energy from the elements: 6.0 eV/f.u.
Crystal system: tetragonal
Total magnetization: 0.00 μB/f.u.

abc: 6.3438 6.3438 4.0785
angles: 90.00 90.00 90.00
With the nearest neighbours (Å) after each atom.
Element x y z (fractional)
Al (0.0000, 0.0000, 0.0000)  8 Tl 3.77, 2 Al 4.08
Tl (0.0000, 0.5000, 0.5000)  2 Pb 3.17
Tl (0.5000, 0.0000, 0.5000)  2 Pb 3.17
B (0.5000, 0.5000, 0.0000)  2 Pb 2.04
Pb (0.5000, 0.5000, 0.5000)  2 B 2.04